Na7VO6 | PBE with a Hubbard U | optimized geometry

a b c (Å): 8.9788 8.9788 8.9788
angles (deg): 140.36 103.67 89.63
Last column: nearest neighbours and their distance in Å.
Atoms (fractional coordinates):
Na 0.0367 0.2123 0.2490  4 O 2.26-2.42
Na 0.1231 0.5150 0.8569  4 O 2.30-2.51
Na 0.1582 0.0150 0.3920  4 O 2.30-2.51
Na 0.2500 0.2500 0.0000  4 O 2.45
Na 0.3418 0.7338 0.8569  4 O 2.30-2.51
Na 0.3769 0.2338 0.3920  4 O 2.30-2.51
Na 0.4633 0.7123 0.1757  4 O 2.26-2.42
Na 0.5367 0.2877 0.8243  4 O 2.26-2.42
Na 0.6231 0.7662 0.6080  4 O 2.30-2.51
Na 0.6582 0.2662 0.1431  4 O 2.30-2.51
Na 0.7500 0.7500 0.0000  4 O 2.45
Na 0.8418 0.9850 0.6080  4 O 2.30-2.51
Na 0.8769 0.4850 0.1431  4 O 2.30-2.51
Na 0.9633 0.7877 0.7510  4 O 2.26-2.42
V 0.2500 0.7500 0.5000  4 O 1.75
V 0.7500 0.2500 0.5000  4 O 1.75
O 0.0814 0.8450 0.5767  1 V 1.75
O 0.1588 0.8936 0.0524  6 Na 2.26-2.37
O 0.2317 0.6550 0.2364  1 V 1.75
O 0.2683 0.5048 0.4233  1 V 1.75
O 0.3412 0.3936 0.7348  6 Na 2.26-2.37
O 0.4186 0.9952 0.7636  1 V 1.75
O 0.5814 0.0048 0.2364  1 V 1.75
O 0.6588 0.6064 0.2652  6 Na 2.26-2.37
O 0.7317 0.4952 0.5767  1 V 1.75
O 0.7683 0.3450 0.7636  1 V 1.75
O 0.8412 0.1064 0.9476  6 Na 2.26-2.37
O 0.9186 0.1550 0.4233  1 V 1.75

Properties
VASP energy = -4.906 eV per atom
space group = Ibam, No. 72
mass density = 2.38 g/cm³